The following is a GGA-PBE calculation of a geometry-optimized Fe2MoW structure, from the Alexandria database.

Summary:
The calculation puts the formation energy at 143 meV/atom. The symmetry is Cmmm.

Structure (extended XYZ):
```
4
Lattice="-1.796 -1.826 0.604 1.124 0.757 2.256 -5.804 6.001 0.880" Properties=species:S:1:pos:R:3 pbc="T T T"
Mo -1.787 0.966 1.650
Fe -5.802 5.998 0.879
Fe -2.904 3.003 0.440
W -4.689 3.966 2.090
```

***

The following is a GGA-PBE calculation of a geometry-optimized Fe2MoW2 structure, from the Alexandria database.

Summary:
The calculation puts the formation energy at 214 meV/atom. The symmetry is P4/mbm.

Structure (extended XYZ):
```
10
Lattice="7.046 0.000 0.000 0.000 7.046 0.000 0.000 0.000 2.813" Properties=species:S:1:pos:R:3 pbc="T T T"
Fe 2.609 6.132 0.000
Fe 0.914 2.609 0.000
Fe 4.437 0.914 0.000
Fe 6.132 4.437 0.000
W 1.181 4.704 1.407
W 4.704 5.865 1.407
W 2.342 1.181 1.407
W 5.865 2.342 1.407
Mo 3.523 3.523 0.000
Mo 0.000 0.000 0.000
```

***

no.,spin magnetization (μB per formula unit),DOS at the Fermi energy (states/eV per cell),total energy (eV per atom)
1,4.1,2.96,-10.03
2,0.0,6.79,-10.52